Entry from the Alexandria database: crystalline CaMoAsO5 at its relaxed geometry (GGA+U).

The structure in extended XYZ format:
```
16
Lattice="5.780 0.041 -0.022 -1.648 5.540 -0.022 -1.743 -2.354 6.904" Properties=species:S:1:pos:R:3 pbc="T T T"
Ca 0.343 3.155 1.704
Ca 2.046 0.072 5.156
Mo -0.871 -1.177 3.452
Mo 0.000 0.000 0.000
As 2.959 1.218 1.704
As -0.570 2.009 5.156
O -1.380 4.431 1.704
O 3.770 -1.204 5.156
O 4.437 1.565 0.862
O -2.047 1.662 5.997
O 3.058 -0.296 2.545
O -0.669 3.523 4.314
O 2.499 2.407 2.874
O -0.110 0.820 3.985
O 1.688 1.312 0.533
O 0.701 1.915 6.326
```

Calculated values
crystal system	monoclinic
space-group type	C2/c
total energy	-6.705	eV/atom